Density functional theory data (GGA-PBE) for a geometry-optimized YPuNiRu structure.

Values from the calculation:
The total magnetic moment is 4.47 μB/f.u. The density of states at the Fermi level is 35.253 states/eV per cell. The value obtained for the total energy is -9.15 eV/atom. The value obtained for the volume is 19.4 Å³ per atom. As for the crystal system: cubic. For the calculated formation energy, the calculation gives -185 meV/atom.

Cell lengths 6.777, 6.777, 6.777 Å; angles 90.00, 90.00, 90.00 degrees
Space group F-43m (No. 216)
Inequivalent atoms, fractional coordinates:
1 Y 0.000 0.000 0.000 x4
2 Pu 0.000 0.000 0.500 x4
3 Ni 0.250 0.250 0.250 x4
4 Ru 0.250 0.250 0.750 x4



Density functional theory data (GGA-PBE) for a geometry-optimized PuZnNiRu structure.

Values from the calculation:
The total magnetic moment is 4.32 μB/f.u. The density of states at the Fermi level is 23.282 states/eV per cell. The value obtained for the total energy is -7.77 eV/atom. The value obtained for the volume is 16.0 Å³ per atom. As for the crystal system: cubic. For the calculated formation energy, the calculation gives -105 meV/atom.

Cell lengths 6.354, 6.354, 6.354 Å; angles 90.00, 90.00, 90.00 degrees
Space group F-43m (No. 216)
Inequivalent atoms, fractional coordinates:
1 Pu 0.000 0.000 0.000 x4
2 Zn 0.000 0.000 0.500 x4
3 Ni 0.250 0.250 0.250 x4
4 Ru 0.250 0.250 0.750 x4



Which of these has the lowest total energy?
YPuNiRu



Which value of total magnetic moment does entry 1 give?
4.47 μB/f.u.